Record 1
VNiSnHg2 after structural relaxation, computed with GGA-PBE.

POSCAR file:
```
VNiSnHg2
1.0
5.281 0.000 0.000
0.000 4.390 0.000
0.000 0.000 5.281
Ni V Hg Sn
1 1 2 1
Direct
0.000 0.500 0.000
0.000 0.000 0.000
0.000 0.000 0.500
0.500 0.000 0.000
0.500 0.500 0.500
```

Results
ΔE_f: 3.9 eV/f.u.

=====

Record 2
RbAsSe2S after structural relaxation, computed with GGA-PBE.

POSCAR file:
```
RbAsSe2S
1.0
6.237 0.000 0.000
0.000 6.237 0.000
0.000 0.000 6.510
S As Se Rb
1 1 2 1
Direct
0.500 0.500 0.500
0.000 0.000 0.500
0.000 0.500 0.000
0.500 0.000 0.000
0.000 0.000 0.000
```

Results
ΔE_f (raw): 8.205 eV/f.u.
Polymorph energy (0 for the lowest one): 1.530 eV per atom

=====

Record 3
Li5Pb3F12 after structural relaxation, computed with GGA-PBE.

POSCAR file:
```
Li5Pb3F12
1.0
11.157 0.000 0.000
-3.719 10.519 0.000
-3.719 -5.260 9.110
Pb Li F
12 20 48
Direct
0.750 0.375 0.125
0.875 0.750 0.125
0.375 0.750 0.625
0.250 0.125 0.375
0.875 0.125 0.250
0.375 0.625 0.250
0.625 0.375 0.750
0.125 0.875 0.750
0.750 0.875 0.625
0.625 0.250 0.375
0.125 0.250 0.875
0.250 0.625 0.875
0.125 0.375 0.250
0.000 0.500 0.000
0.000 0.000 0.000
0.375 0.250 0.125
0.500 0.000 0.500
0.500 0.500 0.000
0.125 0.750 0.375
0.750 0.125 0.875
0.750 0.625 0.375
0.375 0.125 0.750
0.625 0.875 0.250
0.500 0.500 0.500
0.500 0.000 0.000
0.000 0.000 0.500
0.250 0.375 0.625
0.250 0.875 0.125
0.000 0.500 0.500
0.875 0.250 0.625
0.625 0.750 0.875
0.875 0.625 0.750
0.707 0.122 0.027
0.319 0.527 0.405
0.973 0.378 0.293
0.527 0.207 0.122
0.586 0.707 0.681
0.973 0.595 0.181
0.319 0.793 0.414
0.095 0.914 0.122
0.595 0.973 0.681
0.707 0.586 0.181
0.793 0.473 0.378
0.819 0.905 0.027
0.122 0.707 0.527
0.378 0.405 0.086
0.086 0.905 0.378
0.414 0.122 0.595
0.086 0.181 0.207
0.473 0.681 0.095
0.819 0.914 0.293
0.122 0.414 0.095
0.378 0.973 0.793
0.595 0.622 0.414
0.905 0.819 0.527
0.793 0.319 0.914
0.405 0.378 0.586
0.095 0.181 0.473
0.207 0.681 0.086
0.181 0.086 0.707
0.622 0.027 0.207
0.878 0.586 0.905
0.527 0.319 0.905
0.586 0.878 0.405
0.914 0.819 0.793
0.914 0.095 0.622
0.878 0.293 0.473
0.181 0.095 0.973
0.622 0.595 0.914
0.405 0.027 0.319
0.293 0.414 0.819
0.207 0.527 0.622
0.905 0.086 0.878
0.681 0.207 0.586
0.473 0.793 0.878
0.027 0.405 0.819
0.414 0.293 0.319
0.027 0.622 0.707
0.681 0.473 0.595
0.293 0.878 0.973
```

Results
ΔE_f (raw): -51.481 eV/f.u.